A plane-wave DFT calculation with PBE was carried out for an optimized crystal structure of SiTc4Se.

```
6
Lattice="0.000 3.633 3.633 3.633 0.000 3.633 3.633 3.633 0.000" Properties=species:S:1:pos:R:3 pbc="T T T"
Si 0.000 0.000 0.000
Tc 4.537 2.730 2.730
Tc 2.730 4.537 2.730
Tc 2.730 2.730 4.537
Tc 4.537 4.537 4.537
Se 1.817 1.817 1.817
```

Calculated values
formation energy (no corrections): 0.68 eV/atom
DOS(E_F): 6.36 states/eV per cell